Record 1
The following is a DFT calculation (GGA-PBE) of Co5Re24 after structural relaxation.

## Properties
* ΔE_f: 3.39 eV/f.u.
* crystal system: cubic
* VASP energy: -11.39 eV/atom
* symmetry: I-43m, No. 217

a b c (Å): 8.223 8.223 8.223
angles (deg): 109.47 109.47 109.47
Site moments in Bohr magnetons follow the coordinates.
Fractional coordinates of all 29 atoms:
Co (0.000, 0.000, 0.000)  0.48
Co (0.681, 0.000, 0.000)  0.34
Co (0.000, 0.681, 0.000)  0.38
Co (0.319, 0.319, 0.319)  0.37
Co (0.000, 0.000, 0.681)  0.42
Re (0.375, 0.195, 0.000)  0.00
Re (0.195, 0.375, 0.000)  0.01
Re (0.686, 0.403, 0.000)  -0.01
Re (0.403, 0.686, 0.000)  -0.01
Re (0.805, 0.805, 0.181)  -0.01
Re (0.375, 0.000, 0.195)  -0.01
Re (0.000, 0.375, 0.195)  -0.01
Re (0.597, 0.597, 0.283)  -0.01
Re (0.717, 0.314, 0.314)  -0.01
Re (0.314, 0.717, 0.314)  -0.01
Re (0.195, 0.000, 0.375)  -0.01
Re (0.000, 0.195, 0.375)  -0.01
Re (0.686, 0.000, 0.403)  -0.01
Re (0.000, 0.686, 0.403)  -0.02
Re (0.597, 0.283, 0.597)  -0.01
Re (0.283, 0.597, 0.597)  -0.01
Re (0.819, 0.625, 0.625)  -0.01
Re (0.625, 0.819, 0.625)  0.00
Re (0.403, 0.000, 0.686)  -0.01
Re (0.000, 0.403, 0.686)  -0.02
Re (0.314, 0.314, 0.717)  -0.01
Re (0.805, 0.181, 0.805)  0.00
Re (0.181, 0.805, 0.805)  0.00
Re (0.625, 0.625, 0.819)  0.00

Record 2
The following is a DFT calculation (GGA-PBE) of BaPtNO after structural relaxation.

## Properties
* offset from the most stable computed form: 268.5 meV per atom
* crystal system: tetragonal
* VASP energy: -5.87 eV/atom
* symmetry: P4/nmm, No. 129

a b c (Å): 4.193 4.193 9.169
angles (deg): 90.00 90.00 90.00
Fractional coordinates of all 8 atoms:
Ba (0.250, 0.250, 0.150)
Ba (0.750, 0.750, 0.850)
N (0.250, 0.250, 0.500)
N (0.750, 0.750, 0.500)
O (0.750, 0.250, 0.000)
O (0.250, 0.750, 0.000)
Pt (0.750, 0.250, 0.500)
Pt (0.250, 0.750, 0.500)

Record 3
The following is a DFT calculation (GGA-PBE) of Li4Tl2CdAu after structural relaxation.

## Properties
* crystal system: tetragonal
* VASP energy: -2.36 eV/atom
* symmetry: P-4m2, No. 115

a b c (Å): 4.712 4.712 6.711
angles (deg): 90.00 90.00 90.00
Fractional coordinates of all 8 atoms:
Au (0.000, 0.000, 0.000)
Cd (0.500, 0.500, 0.500)
Li (0.500, 0.500, 0.000)
Li (0.500, 0.000, 0.235)
Li (0.000, 0.000, 0.500)
Li (0.000, 0.500, 0.765)
Tl (0.000, 0.500, 0.241)
Tl (0.500, 0.000, 0.759)

Record 4
The following is a DFT calculation (GGA-PBE) of NdCo2SiP after structural relaxation.

## Properties
* crystal system: tetragonal
* VASP energy: -6.85 eV/atom
* symmetry: I4mm, No. 107

a b c (Å): 5.586 5.586 5.586
angles (deg): 138.79 138.79 59.70
Site moments in Bohr magnetons follow the coordinates.
Fractional coordinates of all 5 atoms:
Co (0.748, 0.248, 0.500)  0.54
Co (0.248, 0.748, 0.500)  0.55
Nd (0.003, 0.003, 0.000)  0.02
P (0.634, 0.634, 0.000)  0.01
Si (0.368, 0.368, 0.000)  -0.01